1.
The following is a PBE calculation of Cs2TiCl7 after structural relaxation, from Alexandria via LeMat-Bulk. Values from VASP.

Results
Theoretical density   2.74 g cm⁻³
SG   I4/mmm
Formation energy (no corrections)   -1.5070 eV per atom

Geometry as Quantum ESPRESSO input:
```
&SYSTEM
  ibrav = 0, nat = 10, ntyp = 3
/
ATOMIC_SPECIES
Cs 132.91 Cs.upf
Ti 47.87 Ti.upf
Cl 35.45 Cl.upf
ATOMIC_POSITIONS crystal
Cs 0.250 0.750 0.500
Cs 0.750 0.250 0.500
Ti 0.000 0.000 0.000
Cl 0.204 0.204 0.000
Cl 0.217 0.217 0.435
Cl 0.217 0.783 0.000
Cl 0.500 0.500 0.000
Cl 0.783 0.217 0.000
Cl 0.783 0.783 0.565
Cl 0.796 0.796 0.000
CELL_PARAMETERS angstrom
-3.841 3.841 5.775
3.841 -3.841 5.775
3.841 3.841 -5.775
```

2.
The following is a PBE calculation of Cs2Ti3Cl10 after structural relaxation, from Alexandria via LeMat-Bulk. Values from VASP.

Results
Theoretical density   3.11 g cm⁻³
SG   C2/m
Formation energy (no corrections)   -1.6726 eV per atom

Geometry as Quantum ESPRESSO input:
```
&SYSTEM
  ibrav = 0, nat = 30, ntyp = 3
/
ATOMIC_SPECIES
Cs 132.91 Cs.upf
Ti 47.87 Ti.upf
Cl 35.45 Cl.upf
ATOMIC_POSITIONS crystal
Cs 0.120 0.120 0.238
Cs 0.223 0.223 0.810
Cs 0.777 0.777 0.190
Cs 0.880 0.880 0.762
Ti 0.263 0.737 0.500
Ti 0.322 0.322 0.484
Ti 0.422 0.422 0.017
Ti 0.578 0.578 0.983
Ti 0.678 0.678 0.516
Ti 0.737 0.263 0.500
Cl 0.000 0.500 0.500
Cl 0.020 0.020 0.669
Cl 0.122 0.602 0.036
Cl 0.154 0.631 0.474
Cl 0.271 0.271 0.234
Cl 0.282 0.718 0.000
Cl 0.369 0.846 0.526
Cl 0.370 0.370 0.751
Cl 0.398 0.878 0.964
Cl 0.477 0.477 0.307
Cl 0.500 0.000 0.500
Cl 0.523 0.523 0.693
Cl 0.602 0.122 0.036
Cl 0.630 0.630 0.249
Cl 0.631 0.154 0.474
Cl 0.718 0.282 0.000
Cl 0.729 0.729 0.766
Cl 0.846 0.369 0.526
Cl 0.878 0.398 0.964
Cl 0.980 0.980 0.331
CELL_PARAMETERS angstrom
11.926 -3.668 0.000
11.926 3.668 0.000
-3.830 0.000 9.328
```

3.
The following is a PBE calculation of Cs3TiCl after structural relaxation, from Alexandria via LeMat-Bulk. Values from VASP.

Results
Theoretical density   2.27 g cm⁻³
SG   Pm-3m
Formation energy (no corrections)   0.2755 eV per atom

Geometry as Quantum ESPRESSO input:
```
&SYSTEM
  ibrav = 0, nat = 5, ntyp = 3
/
ATOMIC_SPECIES
Cs 132.91 Cs.upf
Ti 47.87 Ti.upf
Cl 35.45 Cl.upf
ATOMIC_POSITIONS crystal
Cs 0.000 0.000 0.500
Cs 0.000 0.500 0.000
Cs 0.500 0.000 0.000
Ti 0.000 0.000 0.000
Cl 0.500 0.500 0.500
CELL_PARAMETERS angstrom
7.067 0.000 0.000
0.000 7.067 0.000
0.000 0.000 7.067
```

4.
The following is a PBE calculation of CsTi4Cl7 after structural relaxation, from Alexandria via LeMat-Bulk. Values from VASP.

Results
Theoretical density   3.20 g cm⁻³
SG   Pmn2_1
Formation energy (no corrections)   -1.1582 eV per atom

Geometry as Quantum ESPRESSO input:
```
&SYSTEM
  ibrav = 0, nat = 24, ntyp = 3
/
ATOMIC_SPECIES
Cs 132.91 Cs.upf
Ti 47.87 Ti.upf
Cl 35.45 Cl.upf
ATOMIC_POSITIONS crystal
Cs 0.000 0.241 0.000
Cs 0.500 0.759 0.500
Ti 0.150 0.746 0.642
Ti 0.236 0.400 0.551
Ti 0.264 0.600 0.051
Ti 0.350 0.254 0.142
Ti 0.650 0.254 0.142
Ti 0.736 0.600 0.051
Ti 0.764 0.400 0.551
Ti 0.850 0.746 0.642
Cl 0.000 0.655 0.555
Cl 0.117 0.727 0.032
Cl 0.124 0.133 0.477
Cl 0.221 0.232 0.933
Cl 0.279 0.768 0.433
Cl 0.376 0.867 0.977
Cl 0.383 0.273 0.532
Cl 0.500 0.345 0.055
Cl 0.617 0.273 0.532
Cl 0.624 0.867 0.977
Cl 0.721 0.768 0.433
Cl 0.779 0.232 0.933
Cl 0.876 0.133 0.477
Cl 0.883 0.727 0.032
CELL_PARAMETERS angstrom
16.117 0.000 0.000
0.000 6.173 0.000
0.000 0.000 5.979
```

5.
The following is a PBE calculation of CsTiCl6 after structural relaxation, from Alexandria via LeMat-Bulk. Values from VASP.

Results
Theoretical density   2.55 g cm⁻³
SG   R-3m
Formation energy (no corrections)   -1.4022 eV per atom

Geometry as Quantum ESPRESSO input:
```
&SYSTEM
  ibrav = 0, nat = 8, ntyp = 3
/
ATOMIC_SPECIES
Cs 132.91 Cs.upf
Ti 47.87 Ti.upf
Cl 35.45 Cl.upf
ATOMIC_POSITIONS crystal
Cs 0.000 0.000 0.000
Ti 0.500 0.500 0.500
Cl 0.240 0.240 0.578
Cl 0.240 0.578 0.240
Cl 0.422 0.760 0.760
Cl 0.578 0.240 0.240
Cl 0.760 0.422 0.760
Cl 0.760 0.760 0.422
CELL_PARAMETERS angstrom
4.890 2.823 3.096
-4.890 2.823 3.096
0.000 -5.646 3.096
```

6.
The following is a PBE calculation of CsTiCl5 after structural relaxation, from Alexandria via LeMat-Bulk. Values from VASP.

Results
Theoretical density   2.07 g cm⁻³
SG   Imm2
Formation energy (no corrections)   -1.7132 eV per atom

Geometry as Quantum ESPRESSO input:
```
&SYSTEM
  ibrav = 0, nat = 7, ntyp = 3
/
ATOMIC_SPECIES
Cs 132.91 Cs.upf
Ti 47.87 Ti.upf
Cl 35.45 Cl.upf
ATOMIC_POSITIONS crystal
Cs 0.000 0.000 0.000
Ti 0.493 0.993 0.500
Cl 0.147 0.647 0.500
Cl 0.476 0.160 0.317
Cl 0.502 0.287 0.785
Cl 0.502 0.717 0.215
Cl 0.843 0.160 0.683
CELL_PARAMETERS angstrom
-4.096 5.441 3.219
4.096 -5.441 3.219
4.096 5.441 -3.219
```

7.
The following is a PBE calculation of Cs2TiCl after structural relaxation, from Alexandria via LeMat-Bulk. Values from VASP.

Results
Theoretical density   2.89 g cm⁻³
SG   Fm-3m
Formation energy (no corrections)   0.1444 eV per atom

Geometry as Quantum ESPRESSO input:
```
&SYSTEM
  ibrav = 0, nat = 4, ntyp = 3
/
ATOMIC_SPECIES
Cs 132.91 Cs.upf
Ti 47.87 Ti.upf
Cl 35.45 Cl.upf
ATOMIC_POSITIONS crystal
Cs 0.250 0.250 0.250
Cs 0.750 0.750 0.750
Ti 0.000 0.000 0.000
Cl 0.500 0.500 0.500
CELL_PARAMETERS angstrom
0.000 4.646 4.646
4.646 0.000 4.646
4.646 4.646 0.000
```

8.
The following is a PBE calculation of Cs2TiCl4 after structural relaxation, from Alexandria via LeMat-Bulk. Values from VASP.

Results
Theoretical density   2.63 g cm⁻³
SG   Fmmm
Formation energy (no corrections)   -1.6418 eV per atom

Geometry as Quantum ESPRESSO input:
```
&SYSTEM
  ibrav = 0, nat = 7, ntyp = 3
/
ATOMIC_SPECIES
Cs 132.91 Cs.upf
Ti 47.87 Ti.upf
Cl 35.45 Cl.upf
ATOMIC_POSITIONS crystal
Cs 0.250 0.250 0.250
Cs 0.750 0.750 0.750
Ti 0.000 0.000 0.000
Cl 0.217 0.217 0.783
Cl 0.219 0.781 0.219
Cl 0.781 0.219 0.781
Cl 0.783 0.783 0.217
CELL_PARAMETERS angstrom
0.000 5.480 5.655
4.633 0.000 5.655
4.633 5.480 0.000
```

9.
The following is a PBE calculation of Cs3TiCl7 after structural relaxation, from Alexandria via LeMat-Bulk. Values from VASP.

Results
Theoretical density   3.01 g cm⁻³
SG   P4/mbm
Formation energy (no corrections)   -1.8434 eV per atom

Geometry as Quantum ESPRESSO input:
```
&SYSTEM
  ibrav = 0, nat = 22, ntyp = 3
/
ATOMIC_SPECIES
Cs 132.91 Cs.upf
Ti 47.87 Ti.upf
Cl 35.45 Cl.upf
ATOMIC_POSITIONS crystal
Cs 0.000 0.000 0.000
Cs 0.181 0.319 0.500
Cs 0.319 0.819 0.500
Cs 0.500 0.500 0.000
Cs 0.681 0.181 0.500
Cs 0.819 0.681 0.500
Ti 0.000 0.500 0.000
Ti 0.500 0.000 0.000
Cl 0.000 0.000 0.500
Cl 0.115 0.615 0.229
Cl 0.115 0.615 0.771
Cl 0.163 0.337 0.000
Cl 0.337 0.837 0.000
Cl 0.385 0.115 0.229
Cl 0.385 0.115 0.771
Cl 0.500 0.500 0.500
Cl 0.615 0.885 0.229
Cl 0.615 0.885 0.771
Cl 0.663 0.163 0.000
Cl 0.837 0.663 0.000
Cl 0.885 0.385 0.229
Cl 0.885 0.385 0.771
CELL_PARAMETERS angstrom
10.228 0.000 0.000
0.000 10.228 0.000
0.000 0.000 7.326
```

10.
The following is a PBE calculation of Cs2Ti3Cl8 after structural relaxation, from Alexandria via LeMat-Bulk. Values from VASP.

Results
Theoretical density   3.17 g cm⁻³
SG   C2/m
Formation energy (no corrections)   -1.5468 eV per atom

Geometry as Quantum ESPRESSO input:
```
&SYSTEM
  ibrav = 0, nat = 13, ntyp = 3
/
ATOMIC_SPECIES
Cs 132.91 Cs.upf
Ti 47.87 Ti.upf
Cl 35.45 Cl.upf
ATOMIC_POSITIONS crystal
Cs 0.239 0.239 0.193
Cs 0.761 0.761 0.807
Ti 0.293 0.707 0.500
Ti 0.500 0.500 0.000
Ti 0.707 0.293 0.500
Cl 0.082 0.082 0.412
Cl 0.172 0.653 0.124
Cl 0.347 0.828 0.876
Cl 0.401 0.401 0.625
Cl 0.599 0.599 0.375
Cl 0.653 0.172 0.124
Cl 0.828 0.347 0.876
Cl 0.918 0.918 0.588
CELL_PARAMETERS angstrom
8.505 -3.524 0.000
8.505 3.524 0.000
-1.317 0.000 6.057
```